--- one ---
## ErPuP2 (PBE-GGA)

Data for a relaxed ErPuP2 crystal.

Summary:
- Crystal system: orthorhombic
- Magnetization: 5.0 μB/f.u.

a b c (Å): 6.801 6.874 3.963
angles (deg): 90.00 90.00 90.00
Space group Pnnm (No. 58)
Asymmetric unit:
Er1 0.000 0.000 0.000 x2
Pu1 0.000 0.500 0.000 x2
P1 0.166 0.249 0.500 x4

***

--- two ---
## ErPuP2 (PBE-GGA)

Data for a relaxed ErPuP2 crystal.

Summary:
- Crystal system: trigonal
- Magnetization: 5.0 μB/f.u.

a b c (Å): 3.8992 3.8992 20.7132
angles (deg): 90.00 90.00 120.00
Space group R3m (No. 160, hexagonal axes)
Asymmetric unit:
Er1 0.0000 0.0000 0.0000 x3
Pu1 0.0000 0.0000 0.8288 x3
P1 0.0000 0.0000 0.4122 x3
P2 0.0000 0.0000 0.5825 x3

***

--- three ---
## ErPuP2 (PBE-GGA)

Data for a relaxed ErPuP2 crystal.

Summary:
- Crystal system: trigonal
- Magnetization: 4.9 μB/f.u.

a b c (Å): 3.9912 3.9912 19.3355
angles (deg): 90.00 90.00 120.00
Space group R-3m (No. 166, hexagonal axes)
Asymmetric unit:
Er1 0.0000 0.0000 0.0000 x3
Pu1 0.0000 0.0000 0.5000 x3
P1 0.0000 0.0000 0.2490 x6

***

Most stable structure among those shown: three.